Record 1
VASP calculation (PBE) on an optimized crystal structure of DyErTeC.

Lattice parameters (Å, degrees): 3.8129 3.8129 13.9623 90.00 90.00 120.00
Space group P6_3mc (No. 186)
Inequivalent atoms, fractional coordinates:
Dy  0.3333  0.6667  0.0000 [2 per cell]
Er  0.3333  0.6667  0.3138 [2 per cell]
Te  0.3333  0.6667  0.6582 [2 per cell]
C  0.0000  0.0000  0.4061 [2 per cell]

Final energy: -50.1 eV for the cell shown
V: 21.973 Å³/atom


Record 2
VASP calculation (PBE) on an optimized crystal structure of ZrCuNiGe.

Lattice parameters (Å, degrees): 6.2249 6.2249 6.2249 90.00 90.00 90.00
Space group F-43m (No. 216)
Inequivalent atoms, fractional coordinates:
Zr  0.0000  0.0000  0.0000 [4 per cell]
Cu  0.0000  0.0000  0.5000 [4 per cell]
Ni  0.2500  0.2500  0.7500 [4 per cell]
Ge  0.2500  0.2500  0.2500 [4 per cell]

Final energy: -94.2 eV for the cell shown
Relative energy among the computed polymorphs: 71.6 meV per atom
V: 15.076 Å³/atom


Record 3
VASP calculation (PBE) on an optimized crystal structure of AlInPd.

Lattice parameters (Å, degrees): 6.2977 6.2977 6.2977 90.00 90.00 90.00
Space group F-43m (No. 216)
Inequivalent atoms, fractional coordinates:
Al  0.0000  0.0000  0.0000 [4 per cell]
In  0.2500  0.2500  0.2500 [4 per cell]
Pd  0.0000  0.0000  0.5000 [4 per cell]

Final energy: -46.8 eV for the cell shown
V: 20.815 Å³/atom


Record 4
VASP calculation (PBE) on an optimized crystal structure of NaSrCo.

Lattice parameters (Å, degrees): 7.1302 7.1302 7.1302 90.00 90.00 90.00
Space group F-43m (No. 216)
Inequivalent atoms, fractional coordinates:
Na  0.0000  0.0000  0.0000 [4 per cell]
Sr  0.0000  0.0000  0.5000 [4 per cell]
Co  0.2500  0.2500  0.2500 [4 per cell]

Final energy: -31.6 eV for the cell shown
Relative energy among the computed polymorphs: 0.0 meV per atom
V: 30.208 Å³/atom


Record 5
VASP calculation (PBE) on an optimized crystal structure of BaHoCuTe3.

Lattice parameters (Å, degrees): 19.6134 4.4928 9.0880 90.00 102.25 90.00
Space group C2/m (No. 12)
Inequivalent atoms, fractional coordinates:
Ba  0.1308  0.0000  0.0700 [4 per cell]
Ho  0.1631  0.0000  0.5815 [4 per cell]
Cu  0.0405  0.5000  0.7020 [4 per cell]
Te  0.0000  0.0000  0.5000 [2 per cell]
Te  0.0000  0.5000  0.0000 [2 per cell]
Te  0.1745  0.5000  0.3616 [4 per cell]
Te  0.1759  0.5000  0.8138 [4 per cell]

Final energy: -105.4 eV for the cell shown
V: 32.608 Å³/atom


Record 6
VASP calculation (PBE) on an optimized crystal structure of KScPd.

Lattice parameters (Å, degrees): 6.7973 6.7973 6.7973 90.00 90.00 90.00
Space group F-43m (No. 216)
Inequivalent atoms, fractional coordinates:
K  0.0000  0.0000  0.0000 [4 per cell]
Sc  0.2500  0.2500  0.2500 [4 per cell]
Pd  0.2500  0.2500  0.7500 [4 per cell]

Final energy: -39.2 eV for the cell shown
V: 26.171 Å³/atom


Record 7
VASP calculation (PBE) on an optimized crystal structure of NbNi2Au.

Lattice parameters (Å, degrees): 6.1616 6.1616 6.1616 90.00 90.00 90.00
Space group F-43m (No. 216)
Inequivalent atoms, fractional coordinates:
Nb  0.0000  0.0000  0.0000 [4 per cell]
Ni  0.0000  0.0000  0.5000 [4 per cell]
Ni  0.2500  0.2500  0.7500 [4 per cell]
Au  0.2500  0.2500  0.2500 [4 per cell]

Final energy: -97.5 eV for the cell shown
V: 14.620 Å³/atom
Energy of formation from the pure elements: 32 meV per atom


Record 8
VASP calculation (PBE) on an optimized crystal structure of DyBeO3.

Lattice parameters (Å, degrees): 5.2945 7.0772 4.9483 90.00 90.00 90.00
Space group Pnma (No. 62)
Inequivalent atoms, fractional coordinates:
Dy  0.0634  0.2500  0.0197 [4 per cell]
Be  0.0000  0.0000  0.5000 [4 per cell]
O  0.0082  0.7500  0.4384 [4 per cell]
O  0.2229  0.5335  0.8071 [8 per cell]

Final energy: -142.8 eV for the cell shown
V: 9.271 Å³/atom


Record 9
VASP calculation (PBE) on an optimized crystal structure of ZrGaW2.

Lattice parameters (Å, degrees): 6.5013 6.5013 6.5013 90.00 90.00 90.00
Space group F-43m (No. 216)
Inequivalent atoms, fractional coordinates:
Zr  0.0000  0.0000  0.0000 [4 per cell]
Ga  0.2500  0.2500  0.7500 [4 per cell]
W  0.0000  0.0000  0.5000 [4 per cell]
W  0.2500  0.2500  0.2500 [4 per cell]

Final energy: -148.4 eV for the cell shown
V: 17.174 Å³/atom


Record 10
VASP calculation (PBE) on an optimized crystal structure of GaFe2Bi.

Lattice parameters (Å, degrees): 6.4937 6.4937 6.4937 90.00 90.00 90.00
Space group Pm-3m (No. 221)
Inequivalent atoms, fractional coordinates:
Ga  0.0000  0.0000  0.0000 [1 per cell]
Ga  0.0000  0.0000  0.5000 [3 per cell]
Fe  0.2094  0.2094  0.2094 [8 per cell]
Bi  0.0000  0.5000  0.5000 [3 per cell]
Bi  0.5000  0.5000  0.5000 [1 per cell]

Final energy: -89.5 eV for the cell shown
V: 17.114 Å³/atom


Record 11
VASP calculation (PBE) on an optimized crystal structure of FeNiBPd.

Lattice parameters (Å, degrees): 5.5935 5.5935 5.5935 90.00 90.00 90.00
Space group F-43m (No. 216)
Inequivalent atoms, fractional coordinates:
Fe  0.0000  0.0000  0.0000 [4 per cell]
Ni  0.2500  0.2500  0.2500 [4 per cell]
B  0.2500  0.2500  0.7500 [4 per cell]
Pd  0.0000  0.0000  0.5000 [4 per cell]

Final energy: -98.7 eV for the cell shown
Relative energy among the computed polymorphs: 0.0 meV per atom
V: 10.938 Å³/atom


Record 12
VASP calculation (PBE) on an optimized crystal structure of KAgPdSe3.

Lattice parameters (Å, degrees): 14.4084 3.9399 10.3930 90.00 90.00 90.00
Space group Pnma (No. 62)
Inequivalent atoms, fractional coordinates:
K  0.1440  0.2500  0.0220 [4 per cell]
Ag  0.1869  0.7500  0.2867 [4 per cell]
Pd  0.0493  0.7500  0.6407 [4 per cell]
Se  0.0134  0.7500  0.2254 [4 per cell]
Se  0.0976  0.2500  0.4938 [4 per cell]
Se  0.1962  0.7500  0.7774 [4 per cell]

Final energy: -88.7 eV for the cell shown
Relative energy among the computed polymorphs: 0.0 meV per atom
V: 24.583 Å³/atom